Entry 1:
Material: Er5CdPd2
Method: DFT, PBE
State: relaxed

a b c (Å): 7.8021 7.8021 13.2861
angles (deg): 90.00 90.00 90.00
Closest atoms and distances in Å follow each position.
Space group I4/mcm (No. 140)
Inequivalent atoms, fractional coordinates:
Er 0.0000 0.0000 0.0000 [4 per cell]  4 Pd 3.04, 2 Cd 3.32
Er 0.1586 0.3414 0.1405 [16 per cell]  3 Pd 2.94-2.96, 2 Cd 3.28
Cd 0.0000 0.0000 0.2500 [4 per cell]  10 Er 3.28-3.32
Pd 0.1350 0.3650 0.5000 [8 per cell]  8 Er 2.94-3.04, 1 Pd 2.98

Calculated volume in Å³/f.u.: 202.2
E_tot in eV/cell: -154.04
Crystal system: tetragonal
E_form in meV per atom: -549.3
D(E_F) in states/eV per atom: 1.1586
Mass density in g/cm3: 9.539

Entry 2:
Material: Rb2Hg3Au
Method: DFT, PBE
State: relaxed

a b c (Å): 12.3262 5.3257 8.3748
angles (deg): 90.00 132.11 90.00
Closest atoms and distances in Å follow each position.
Space group Cm (No. 8)
Inequivalent atoms, fractional coordinates:
Rb 0.0000 0.0000 0.0000 [2 per cell]  9 Hg 3.64-3.93, 3 Au 3.87-3.91
Rb 0.1048 0.0000 0.5965 [2 per cell]  3 Au 3.63-3.68, 8 Hg 3.64-3.86
Hg 0.1945 0.5000 0.9853 [2 per cell]  1 Au 2.97, 3 Hg 3.19-3.31
Hg 0.2266 0.5000 0.4104 [2 per cell]  2 Au 3.04, 2 Hg 3.31-3.32
Hg 0.3846 0.0000 0.2073 [2 per cell]  1 Au 3.02, 3 Hg 3.19-3.32
Au 0.3867 0.0000 0.5695 [2 per cell]  4 Hg 2.97-3.04

Calculated volume in Å³/f.u.: 203.9
E_tot in eV/cell: -15.44
Crystal system: monoclinic
E_form in meV per atom: -267.0
D(E_F) in states/eV per atom: 0.3953
Mass density in g/cm3: 7.896

Entry 3:
Material: Y3Mg2Zr2
Method: DFT, PBE
State: relaxed

a b c (Å): 5.0413 22.7544 3.3527
angles (deg): 90.00 90.00 90.00
Closest atoms and distances in Å follow each position.
Space group Cmmm (No. 65)
Inequivalent atoms, fractional coordinates:
Y 0.0000 0.0000 0.0000 [2 per cell]  4 Y 3.35-3.46, 8 Mg 3.47
Y 0.0000 0.1520 0.0000 [4 per cell]  6 Zr 3.30-3.43, 3 Y 3.35-3.46, 4 Mg 3.50
Mg 0.0000 0.4255 0.5000 [4 per cell]  3 Mg 3.35-3.39, 1 Zr 3.38, 8 Y 3.47-3.50
Zr 0.0000 0.2767 0.5000 [4 per cell]  2 Zr 2.80

Calculated volume in Å³/f.u.: 192.3
E_tot in eV/cell: -79.04
Crystal system: orthorhombic
E_form in meV per atom: 22.7
D(E_F) in states/eV per atom: 1.0983
Mass density in g/cm3: 4.298

Entry 4:
Material: Tl4Cd5As6
Method: DFT, PBE
State: relaxed

a b c (Å): 4.5362 20.6308 17.1943
angles (deg): 90.00 90.00 90.00
Closest atoms and distances in Å follow each position.
Space group Cmc2_1 (No. 36)
Inequivalent atoms, fractional coordinates:
Tl 0.0000 0.0202 0.0000 [4 per cell]  4 As 3.13-3.18, 5 Cd 3.29-3.45
Tl 0.0000 0.0211 0.2428 [4 per cell]  5 As 3.01-3.32
Tl 0.0000 0.1802 0.5330 [4 per cell]  6 As 3.21-3.42
Tl 0.0000 0.1849 0.1741 [4 per cell]  4 As 3.17-3.28
Cd 0.0000 0.1332 0.8521 [4 per cell]  4 As 2.75-2.88
Cd 0.0000 0.2832 0.8535 [4 per cell]  4 As 2.74-2.85
Cd 0.0000 0.3622 0.2086 [4 per cell]  4 As 2.74-2.89
Cd 0.0000 0.3616 0.4958 [4 per cell]  4 As 2.74-3.05
Cd 0.0000 0.4339 0.9083 [4 per cell]  4 As 2.77-2.91
As 0.0000 0.1331 0.3548 [4 per cell]  4 Cd 2.81-2.85, 1 Tl 3.01
As 0.0000 0.2129 0.9898 [4 per cell]  4 Cd 2.74-2.88
As 0.0000 0.2140 0.7172 [4 per cell]  4 Cd 2.74-2.86
As 0.0000 0.4378 0.0778 [4 per cell]  1 As 2.44
As 0.0000 0.4418 0.3467 [4 per cell]  5 Cd 2.75-3.05
As 0.0000 0.4505 0.6251 [4 per cell]  1 As 2.44

Calculated volume in Å³/f.u.: 402.3
E_tot in eV/cell: -168.88
Crystal system: orthorhombic
E_form in meV per atom: -18.7
D(E_F) in states/eV per atom: 0.3558
Mass density in g/cm3: 7.550

Entry 5:
Material: CsIr3Br
Method: DFT, PBE
State: relaxed

a b c (Å): 4.8644 4.8644 4.8644
angles (deg): 90.00 90.00 90.00
Closest atoms and distances in Å follow each position.
Space group Pm-3m (No. 221)
Inequivalent atoms, fractional coordinates:
Cs 0.0000 0.0000 0.0000 [1 per cell]  12 Ir 3.44
Ir 0.0000 0.5000 0.5000 [3 per cell]  2 Br 2.43
Br 0.5000 0.5000 0.5000 [1 per cell]  6 Ir 2.43

Calculated volume in Å³/f.u.: 115.1
E_tot in eV/cell: -19.87
Crystal system: cubic
ΔE_f (raw) in meV/atom: 1848
D(E_F) in states/eV per atom: 1.4635
Mass density in g/cm3: 11.389

Entry 6:
Material: PmVAsPd
Method: DFT, PBE
State: relaxed

a b c (Å): 6.8202 6.8202 6.8202
angles (deg): 90.00 90.00 90.00
Closest atoms and distances in Å follow each position.
Space group F-43m (No. 216)
Inequivalent atoms, fractional coordinates:
Pm 0.0000 0.0000 0.0000 [4 per cell]  4 As 2.95, 4 Pd 2.95
V 0.0000 0.0000 0.5000 [4 per cell]  4 Pd 2.95, 4 As 2.95
As 0.2500 0.2500 0.2500 [4 per cell]  4 Pm 2.95, 4 V 2.95
Pd 0.2500 0.2500 0.7500 [4 per cell]  4 Pm 2.95, 4 V 2.95

Calculated volume in Å³/f.u.: 79.3
E_tot in eV/cell: -101.18
Crystal system: cubic
E_form in meV per atom: -395.6
D(E_F) in states/eV per atom: 1.1213
Mass density in g/cm3: 7.899

Entry 7:
Material: CsUAg2Se4
Method: DFT, PBE
State: relaxed

a b c (Å): 6.7617 8.4057 9.5470
angles (deg): 90.00 90.00 90.00
Closest atoms and distances in Å follow each position.
Space group I222 (No. 23)
Inequivalent atoms, fractional coordinates:
Cs 0.0000 0.0000 0.0000 [2 per cell]  8 Se 3.68-3.77
U 0.0000 0.0000 0.5000 [2 per cell]  4 Se 2.66
Ag 0.0000 0.5000 0.1519 [4 per cell]  2 Se 2.54
Se 0.2066 0.1868 0.3284 [8 per cell]  1 Ag 2.54, 1 U 2.66

Calculated volume in Å³/f.u.: 271.3
E_tot in eV/cell: -72.91
Crystal system: orthorhombic
ΔE_f (raw) in meV/atom: -584
D(E_F) in states/eV per atom: 0.9220
Mass density in g/cm3: 5.524

Entry 8:
Material: MgScPt
Method: DFT, PBE
State: relaxed

a b c (Å): 4.3609 9.2345 5.6265
angles (deg): 90.00 90.00 90.00
Closest atoms and distances in Å follow each position.
Space group Cmcm (No. 63)
Inequivalent atoms, fractional coordinates:
Mg 0.0000 0.0000 0.0000 [4 per cell]  4 Pt 2.79, 2 Mg 2.81, 2 Sc 3.09
Sc 0.0000 0.2979 0.2500 [4 per cell]  5 Pt 2.79-2.94, 2 Mg 3.09
Pt 0.0000 0.3898 0.7500 [4 per cell]  5 Sc 2.79-2.94, 4 Mg 2.79

Calculated volume in Å³/f.u.: 56.6
E_tot in eV/cell: -66.67
Crystal system: orthorhombic
E_form in meV per atom: -900.3
D(E_F) in states/eV per atom: 0.6924
Mass density in g/cm3: 7.749

Entry 9:
Material: SrMg2Cd
Method: DFT, PBE
State: relaxed

a b c (Å): 6.5647 11.5652 3.4402
angles (deg): 90.00 116.18 90.00
Closest atoms and distances in Å follow each position.
Space group C2/m (No. 12)
Inequivalent atoms, fractional coordinates:
Sr 0.0000 0.0000 0.0000 [2 per cell]  4 Cd 3.28-3.56, 4 Mg 3.39, 2 Sr 3.44
Mg 0.2500 0.2500 0.5000 [4 per cell]  6 Mg 3.28-3.56, 2 Cd 3.39, 2 Sr 3.39
Cd 0.0000 0.5000 0.0000 [2 per cell]  4 Sr 3.28-3.56, 4 Mg 3.39, 2 Cd 3.44

Calculated volume in Å³/f.u.: 117.2
E_tot in eV/cell: -11.32
Crystal system: monoclinic
E_form in meV per atom: 31.5
D(E_F) in states/eV per atom: 0.6268
Mass density in g/cm3: 3.523

Entry 10:
Material: MgTa2Os
Method: DFT, PBE
State: relaxed

a b c (Å): 4.1240 4.1240 3.9818
angles (deg): 90.00 90.00 90.00
Closest atoms and distances in Å follow each position.
Space group P4/mmm (No. 123)
Inequivalent atoms, fractional coordinates:
Mg 0.0000 0.0000 0.0000 [1 per cell]  8 Ta 2.87, 4 Os 2.92
Ta 0.0000 0.5000 0.5000 [2 per cell]  4 Os 2.87, 4 Mg 2.87, 4 Ta 2.92
Os 0.5000 0.5000 0.0000 [1 per cell]  8 Ta 2.87, 4 Mg 2.92

Calculated volume in Å³/f.u.: 67.7
E_tot in eV/cell: -36.07
Crystal system: tetragonal
E_form in meV per atom: 114.4
D(E_F) in states/eV per atom: 0.8896
Mass density in g/cm3: 14.135

Entry 11:
Material: LuHO
Method: DFT, PBE
State: relaxed

a b c (Å): 5.1470 5.1470 5.1470
angles (deg): 90.00 90.00 90.00
Closest atoms and distances in Å follow each position.
Space group F-43m (No. 216)
Inequivalent atoms, fractional coordinates:
Lu 0.0000 0.0000 0.0000 [4 per cell]  4 O 2.23, 4 H 2.23
H 0.2500 0.2500 0.7500 [4 per cell]  4 Lu 2.23
O 0.2500 0.2500 0.2500 [4 per cell]  4 Lu 2.23

Calculated volume in Å³/f.u.: 34.1
E_tot in eV/cell: -79.54
Crystal system: cubic
D(E_F) in states/eV per atom: 0.0000
Mass density in g/cm3: 9.352

Entry 12:
Material: CaTeP2O
Method: DFT, PBE
State: relaxed

a b c (Å): 5.2099 5.2099 4.0296
angles (deg): 90.00 90.00 90.00
Closest atoms and distances in Å follow each position.
Space group P4/mmm (No. 123)
Inequivalent atoms, fractional coordinates:
Ca 0.0000 0.0000 0.0000 [1 per cell]  8 P 3.29, 4 O 3.68
Te 0.5000 0.5000 0.5000 [1 per cell]  2 O 2.01
P 0.0000 0.5000 0.5000 [2 per cell]  2 Te 2.60
O 0.5000 0.5000 0.0000 [1 per cell]  2 Te 2.01

Calculated volume in Å³/f.u.: 109.4
E_tot in eV/cell: -21.60
Crystal system: tetragonal
ΔE_f (raw) in meV/atom: -135
D(E_F) in states/eV per atom: 0.9824
Mass density in g/cm3: 3.729

- The highest calculated volume belongs to which entry?
  Tl4Cd5As6

- Among the records above, which one has the lowest mass density?
  SrMg2Cd

- Among the records above, which one has the highest D(E_F)?
  CsIr3Br